# 1
RbBa2IrO4: relaxed, GGA-PBE.

Summary:
E_tot = -47.2 eV per formula unit
DOS(E_F) = 12.5 states/eV per cell

Cell: 6.479 6.479 7.308 Å, 90.00 90.00 90.00°
Space group I4/mmm (No. 139)
Inequivalent atoms, fractional coordinates:
Rb 0.000 0.000 0.000
Ba 0.000 0.500 0.250
Ir 0.000 0.000 0.500
O 0.215 0.215 0.500

=====

# 2
LiCrAg: relaxed, GGA-PBE.

Summary:
ΔH_f (0 K) = 5.49 kcal/mol of atoms
DOS(E_F) = 7.7 states/eV per cell

Cell: 7.169 2.845 8.938 Å, 90.00 90.00 90.00°
Space group Pnma (No. 62)
Inequivalent atoms, fractional coordinates:
Li 0.150 0.250 0.088
Cr 0.053 0.250 0.427
Ag 0.146 0.250 0.788

=====

# 3
Pr3Sm5Ho4: relaxed, GGA-PBE.

Summary:
ΔH_f (0 K) = 0.38 kcal/mol of atoms
DOS(E_F) = 15.8 states/eV per cell

Cell: 6.265 7.222 8.854 Å, 90.06 90.05 90.08°
Space group P-1 (No. 2)
Inequivalent atoms, fractional coordinates:
Pr 0.000 0.000 0.000
Pr 0.166 0.748 0.665
Sm 0.000 0.500 0.000
Sm 0.334 0.000 0.334
Sm 0.498 0.252 0.000
Ho 0.168 0.252 0.665
Ho 0.334 0.500 0.335

=====

# 4
TcTePb2: relaxed, GGA-PBE.

Summary:
E_tot = -19.7 eV per formula unit
DOS(E_F) = 5.0 states/eV per cell

Cell: 5.082 12.868 3.462 Å, 90.00 90.00 90.00°
Space group Cmmm (No. 65)
Inequivalent atoms, fractional coordinates:
Tc 0.000 0.000 0.000
Te 0.000 0.500 0.000
Pb 0.000 0.175 0.500

=====

# 5
Nb2GeH: relaxed, GGA-PBE.

Summary:
E_tot = -29.3 eV per formula unit
DOS(E_F) = 4.5 states/eV per cell

Cell: 3.463 5.471 6.635 Å, 112.10 105.12 90.11°
Space group P-1 (No. 2)
Inequivalent atoms, fractional coordinates:
Nb 0.009 0.254 0.015
Nb 0.302 0.332 0.602
Ge 0.365 0.894 0.731
H 0.117 0.626 0.236

=====

# 6
Tb2DyYN4: relaxed, GGA-PBE.

Summary:
E_tot = -67.1 eV per formula unit
DOS(E_F) = 0.2 states/eV per cell

Cell: 6.038 3.488 6.038 Å, 90.00 109.45 90.00°
Space group P2/m (No. 10)
Inequivalent atoms, fractional coordinates:
Tb 0.000 0.000 0.000
Tb 0.000 0.500 0.500
Dy 0.500 0.000 0.500
Y 0.500 0.500 0.000
N 0.251 0.000 0.750
N 0.251 0.500 0.251

=====

# 7
Nd4Ag3Sn: relaxed, GGA-PBE.

Summary:
ΔH_f (0 K) = -8.70 kcal/mol of atoms
DOS(E_F) = 17.6 states/eV per cell

Cell: 5.357 5.357 15.186 Å, 90.00 90.00 90.00°
Space group I4/mmm (No. 139)
Inequivalent atoms, fractional coordinates:
Nd 0.000 0.500 0.127
Ag 0.000 0.000 0.000
Ag 0.000 0.000 0.248
Sn 0.000 0.000 0.500

=====

# 8
Pr2TlP: relaxed, GGA-PBE.

Summary:
ΔH_f (0 K) = -16.69 kcal/mol of atoms
DOS(E_F) = 3.2 states/eV per cell

Cell: 3.687 3.687 7.879 Å, 90.00 90.00 90.00°
Space group P4/mmm (No. 123)
Inequivalent atoms, fractional coordinates:
Pr 0.000 0.000 0.212
Tl 0.500 0.500 0.500
P 0.500 0.500 0.000

=====

# 9
Al2SbIr: relaxed, GGA-PBE.

Summary:
E_tot = -21.0 eV per formula unit
DOS(E_F) = 1.9 states/eV per cell

Cell: 3.069 3.069 7.643 Å, 90.00 90.00 90.00°
Space group P4mm (No. 99)
Inequivalent atoms, fractional coordinates:
Al 0.000 0.000 0.000
Al 0.500 0.500 0.237
Sb 0.500 0.500 0.677
Ir 0.000 0.000 0.421

=====

# 10
SiNiAu2Se: relaxed, GGA-PBE.

Summary:
E_tot = -17.4 eV per formula unit
DOS(E_F) = 3.0 states/eV per cell

Cell: 5.045 5.045 4.295 Å, 90.00 90.00 90.00°
Space group P4/mmm (No. 123)
Inequivalent atoms, fractional coordinates:
Si 0.000 0.000 0.000
Ni 0.500 0.500 0.000
Au 0.000 0.500 0.500
Se 0.500 0.500 0.500

=====

# 11
U2MnPC: relaxed, GGA-PBE.

Summary:
ΔH_f (0 K) = -10.92 kcal/mol of atoms
DOS(E_F) = 14.8 states/eV per cell

Cell: 5.865 3.654 7.823 Å, 90.00 100.52 90.00°
Space group P2_1/m (No. 11)
Inequivalent atoms, fractional coordinates:
U 0.217 0.250 0.370
U 0.230 0.250 0.933
Mn 0.500 0.250 0.783
P 0.285 0.750 0.651
C 0.162 0.750 0.137

=====

# 12
HgTe2Au: relaxed, GGA-PBE.

Summary:
E_tot = -10.1 eV per formula unit
DOS(E_F) = 3.5 states/eV per cell

Cell: 8.063 4.112 7.394 Å, 90.00 107.98 90.00°
Space group C2/m (No. 12)
Inequivalent atoms, fractional coordinates:
Hg 0.000 0.000 0.000
Te 0.178 0.000 0.731
Au 0.000 0.500 0.500

=====

# 13
RbSn12: relaxed, GGA-PBE.

Summary:
ΔH_f (0 K) = 4.21 kcal/mol of atoms
DOS(E_F) = 43.6 states/eV per cell

Cell: 12.776 12.776 12.776 Å, 90.00 90.00 90.00°
Space group Fm-3m (No. 225)
Inequivalent atoms, fractional coordinates:
Rb 0.000 0.000 0.000
Sn 0.000 0.170 0.330

=====

# 14
DyGa3IrRh: relaxed, GGA-PBE.

Summary:
ΔH_f (0 K) = -11.81 kcal/mol of atoms
DOS(E_F) = 11.3 states/eV per cell

Cell: 7.995 10.708 5.484 Å, 90.00 90.00 90.00°
Space group Cmcm (No. 63)
Inequivalent atoms, fractional coordinates:
Dy 0.000 0.200 0.250
Ga 0.000 0.320 0.750
Ga 0.242 0.000 0.000
Ir 0.000 0.090 0.750
Rh 0.000 0.448 0.250

=====

# 15
Sr2NbP2N6: relaxed, GGA-PBE.

Summary:
E_tot = -82.8 eV per formula unit
DOS(E_F) = 15.7 states/eV per cell

Cell: 5.6406 5.6406 16.2046 Å, 90.00 90.00 120.00°
Space group R-3m (No. 166, hexagonal axes)
Inequivalent atoms, fractional coordinates:
Sr 0.0000 0.0000 0.2262
Nb 0.0000 0.0000 0.0000
P 0.0000 0.0000 0.4318
N 0.0113 0.5057 0.2570

=====

# 16
Ba5Sr2Li: relaxed, GGA-PBE.

Summary:
ΔH_f (0 K) = 0.86 kcal/mol of atoms
DOS(E_F) = 25.0 states/eV per cell

Cell: 10.448 19.337 4.484 Å, 90.00 90.00 90.00°
Space group Pbam (No. 55)
Inequivalent atoms, fractional coordinates:
Ba 0.000 0.000 0.000
Ba 0.003 0.230 0.000
Ba 0.208 0.387 0.500
Sr 0.205 0.613 0.500
Li 0.000 0.500 0.000

=====

# 17
SrYCl2: relaxed, GGA-PBE.

Summary:
E_tot = -17.1 eV per formula unit
DOS(E_F) = 6.3 states/eV per cell

Cell: 3.626 7.057 9.398 Å, 90.00 90.00 90.00°
Space group Immm (No. 71)
Inequivalent atoms, fractional coordinates:
Sr 0.000 0.000 0.000
Y 0.000 0.000 0.500
Cl 0.000 0.500 0.228

=====

# 18
Ti4AlRu: relaxed, GGA-PBE.

Summary:
ΔH_f (0 K) = 1.32 kcal/mol of atoms
DOS(E_F) = 14.0 states/eV per cell

Cell: 7.521 4.293 7.417 Å, 90.00 109.53 90.00°
Space group C2/m (No. 12)
Inequivalent atoms, fractional coordinates:
Ti 0.121 0.000 0.355
Ti 0.129 0.500 0.889
Al 0.000 0.500 0.500
Ru 0.000 0.000 0.000

=====

# 19
V2Ge2As: relaxed, GGA-PBE.

Summary:
ΔH_f (0 K) = -2.26 kcal/mol of atoms
DOS(E_F) = 8.3 states/eV per cell

Cell: 6.620 6.620 3.542 Å, 90.00 90.00 90.00°
Space group P4/mbm (No. 127)
Inequivalent atoms, fractional coordinates:
V 0.158 0.342 0.000
Ge 0.141 0.641 0.500
As 0.000 0.000 0.000

=====

# 20
Pm4Dy2Tl: relaxed, GGA-PBE.

Summary:
ΔH_f (0 K) = -1.34 kcal/mol of atoms
DOS(E_F) = 29.2 states/eV per cell

Cell: 6.338 11.779 12.278 Å, 90.00 104.92 90.00°
Space group Cc (No. 9)
Inequivalent atoms, fractional coordinates:
Pm 0.000 0.042 0.000
Pm 0.056 0.383 0.630
Pm 0.131 0.141 0.282
Pm 0.209 0.291 0.912
Dy 0.360 0.171 0.572
Dy 0.485 0.072 0.839
Tl 0.400 0.378 0.208

=====

# 21
UVTcSb: relaxed, GGA-PBE.

Summary:
E_tot = -34.8 eV per formula unit
DOS(E_F) = 33.3 states/eV per cell

Cell: 6.640 6.640 6.640 Å, 90.00 90.00 90.00°
Space group F-43m (No. 216)
Inequivalent atoms, fractional coordinates:
U 0.000 0.000 0.000
V 0.250 0.250 0.250
Tc 0.250 0.250 0.750
Sb 0.000 0.000 0.500

=====

# 22
NdSm3Ho5: relaxed, GGA-PBE.

Summary:
ΔH_f (0 K) = 11.74 kcal/mol of atoms
DOS(E_F) = 49.1 states/eV per cell

Cell: 15.287 11.362 9.957 Å, 90.00 130.39 90.00°
Space group C2/m (No. 12)
Inequivalent atoms, fractional coordinates:
Nd 0.248 0.000 0.406
Sm 0.000 0.000 0.000
Sm 0.000 0.500 0.500
Sm 0.007 0.500 0.810
Sm 0.022 0.000 0.362
Ho 0.000 0.259 0.000
Ho 0.151 0.249 0.751
Ho 0.219 0.500 0.223
Ho 0.225 0.000 0.042

=====

# 23
Sr3PtI3: relaxed, GGA-PBE.

Summary:
E_tot = -25.1 eV per formula unit
DOS(E_F) = 5.8 states/eV per cell

Cell: 9.518 4.583 13.026 Å, 90.00 92.79 90.00°
Space group P2_1/m (No. 11)
Inequivalent atoms, fractional coordinates:
Sr 0.099 0.250 0.390
Sr 0.130 0.250 0.857
Sr 0.336 0.750 0.630
Pt 0.120 0.250 0.624
I 0.123 0.250 0.123
I 0.375 0.750 0.882
I 0.385 0.750 0.373